[1]
VASP calculation (GGA-PBE) on a relaxed Sc4PC2 crystal.

E_tot = -0.2880 hartree per atom
D(E_F) = 1.90 states/eV/f.u.
Energy of formation from the pure elements = -78.3 kJ per mole of atoms

Cell: 3.473 11.117 11.424 Å, 90.00 90.00 90.00°
Space group Cmcm (No. 63)
Asymmetric unit:
Sc 0.000 0.000 0.000 (multiplicity 4)
Sc 0.000 0.264 0.108 (multiplicity 8)
Sc 0.000 0.439 0.750 (multiplicity 4)
P 0.000 0.112 0.750 (multiplicity 4)
C 0.000 0.366 0.561 (multiplicity 8)

[2]
VASP calculation (GGA-PBE) on a relaxed VZnI2Cl crystal.

Formation energy from raw total energies = 0.437 eV per atom
E_tot = -0.0967 hartree per atom
D(E_F) = 6.37 states/eV/f.u.

Cell: 6.594 6.594 4.387 Å, 90.00 90.00 90.00°
Space group P4/mmm (No. 123)
Asymmetric unit:
V 0.000 0.000 0.000 (multiplicity 1)
Zn 0.500 0.500 0.000 (multiplicity 1)
I 0.000 0.500 0.500 (multiplicity 2)
Cl 0.000 0.000 0.500 (multiplicity 1)

[3]
VASP calculation (GGA-PBE) on a relaxed Cd2IrW crystal.

Distance to the lowest polymorph of the same formula = 0.000 eV/atom
E_tot = -0.2144 hartree per atom
D(E_F) = 2.90 states/eV/f.u.
Energy of formation from the pure elements = 7.5 kJ per mole of atoms

Cell: 2.925 2.924 8.407 Å, 90.00 90.12 90.00°
Space group Pm (No. 6)
Asymmetric unit:
Cd 0.000 0.000 0.000 (multiplicity 1)
Cd 0.497 0.500 0.291 (multiplicity 1)
Ir 0.499 0.500 0.748 (multiplicity 1)
W 0.998 0.000 0.552 (multiplicity 1)

[4]
VASP calculation (GGA-PBE) on a relaxed Y2FePb crystal.

E_tot = -0.2335 hartree per atom
D(E_F) = 6.97 states/eV/f.u.
Energy of formation from the pure elements = -7.5 kJ per mole of atoms

Cell: 4.950 4.950 4.002 Å, 90.00 90.00 90.00°
Space group P4/mmm (No. 123)
Asymmetric unit:
Y 0.000 0.500 0.000 (multiplicity 2)
Fe 0.000 0.000 0.500 (multiplicity 1)
Pb 0.500 0.500 0.500 (multiplicity 1)

[5]
VASP calculation (GGA-PBE) on a relaxed MgMoIr3 crystal.

Distance to the lowest polymorph of the same formula = 0.000 eV/atom
E_tot = -0.2431 hartree per atom
D(E_F) = 4.29 states/eV/f.u.
Energy of formation from the pure elements = 114.5 kJ per mole of atoms

Cell: 4.737 4.737 4.737 Å, 90.00 90.00 90.00°
Space group Pm-3m (No. 221)
Asymmetric unit:
Mg 0.000 0.000 0.000 (multiplicity 1)
Mo 0.500 0.500 0.500 (multiplicity 1)
Ir 0.000 0.500 0.500 (multiplicity 3)

[6]
VASP calculation (GGA-PBE) on a relaxed TiBiO2 crystal.

Formation energy from raw total energies = -1.961 eV per atom
E_tot = -0.2714 hartree per atom
D(E_F) = 2.61 states/eV/f.u.

Cell: 3.0983 3.0983 27.5723 Å, 90.00 90.00 120.00°
Space group R-3m (No. 166, hexagonal axes)
Asymmetric unit:
Ti 0.0000 0.0000 0.0000 (multiplicity 3)
Bi 0.0000 0.0000 0.5000 (multiplicity 3)
O 0.0000 0.0000 0.3674 (multiplicity 6)

[7]
VASP calculation (GGA-PBE) on a relaxed Li2ScFe crystal.

Distance to the lowest polymorph of the same formula = 0.142 eV/atom
E_tot = -0.1594 hartree per atom
D(E_F) = 3.60 states/eV/f.u.
Energy of formation from the pure elements = 30.6 kJ per mole of atoms

Cell: 3.634 3.634 20.776 Å, 90.00 90.00 90.00°
Space group I-42d (No. 122)
Asymmetric unit:
Li 0.221 0.750 0.125 (multiplicity 8)
Sc 0.000 0.000 0.500 (multiplicity 4)
Fe 0.000 0.000 0.000 (multiplicity 4)

[8]
VASP calculation (GGA-PBE) on a relaxed YPuBi2 crystal.

Distance to the lowest polymorph of the same formula = 0.006 eV/atom
E_tot = -0.2846 hartree per atom
D(E_F) = 14.91 states/eV/f.u.
Energy of formation from the pure elements = -58.5 kJ per mole of atoms

Cell: 6.379 6.379 12.754 Å, 90.00 90.00 90.00°
Space group I4_1/amd (No. 141, origin choice 2)
Asymmetric unit:
Y 0.000 0.250 0.375 (multiplicity 4)
Pu 0.000 0.250 0.875 (multiplicity 4)
Bi 0.000 0.250 0.125 (multiplicity 8)

[9]
VASP calculation (GGA-PBE) on a relaxed AgHg2As crystal.

E_tot = -0.0643 hartree per atom
D(E_F) = 1.08 states/eV/f.u.
Energy of formation from the pure elements = 26.7 kJ per mole of atoms

Cell: 7.011 7.011 7.011 Å, 90.00 90.00 90.00°
Space group F-43m (No. 216)
Asymmetric unit:
Ag 0.000 0.000 0.000 (multiplicity 4)
Hg 0.000 0.000 0.500 (multiplicity 4)
Hg 0.250 0.250 0.250 (multiplicity 4)
As 0.250 0.250 0.750 (multiplicity 4)

[10]
VASP calculation (GGA-PBE) on a relaxed AcLa2Ge2Au2 crystal.

E_tot = -0.1814 hartree per atom
D(E_F) = 3.66 states/eV/f.u.
Energy of formation from the pure elements = -66.3 kJ per mole of atoms

Cell: 4.5876 4.5876 30.3740 Å, 90.00 90.00 120.00°
Space group R-3m (No. 166, hexagonal axes)
Asymmetric unit:
Ac 0.0000 0.0000 0.0000 (multiplicity 3)
La 0.0000 0.0000 0.1319 (multiplicity 6)
Ge 0.0000 0.0000 0.2533 (multiplicity 6)
Au 0.0000 0.0000 0.4017 (multiplicity 6)

[11]
VASP calculation (GGA-PBE) on a relaxed Ho2Pd8Pb crystal.

E_tot = -0.2030 hartree per atom
D(E_F) = 4.06 states/eV/f.u.
Energy of formation from the pure elements = -55.7 kJ per mole of atoms

Cell: 14.826 4.208 6.598 Å, 90.00 105.97 90.00°
Space group C2/m (No. 12)
Asymmetric unit:
Ho 0.215 0.000 0.166 (multiplicity 4)
Pd 0.036 0.000 0.222 (multiplicity 4)
Pd 0.092 0.500 0.952 (multiplicity 4)
Pd 0.148 0.000 0.694 (multiplicity 4)
Pd 0.173 0.500 0.407 (multiplicity 4)
Pb 0.000 0.500 0.500 (multiplicity 2)

[12]
VASP calculation (GGA-PBE) on a relaxed BRu3 crystal.

E_tot = -0.3002 hartree per atom
D(E_F) = 5.23 states/eV/f.u.
Energy of formation from the pure elements = 44.2 kJ per mole of atoms

Cell: 5.3277 5.3277 4.0490 Å, 90.00 90.00 120.00°
Space group P6_3/mmc (No. 194)
Asymmetric unit:
B 0.3333 0.6667 0.2500 (multiplicity 2)
Ru 0.1746 0.3492 0.7500 (multiplicity 6)

[13]
VASP calculation (GGA-PBE) on a relaxed PaTiPd crystal.

Distance to the lowest polymorph of the same formula = 0.000 eV/atom
E_tot = -0.2790 hartree per atom
D(E_F) = 5.50 states/eV/f.u.
Energy of formation from the pure elements = -6.3 kJ per mole of atoms

Cell: 4.6242 4.6242 3.2768 Å, 90.00 90.00 120.00°
Space group P-6m2 (No. 187)
Asymmetric unit:
Pa 0.0000 0.0000 0.0000 (multiplicity 1)
Ti 0.6667 0.3333 0.5000 (multiplicity 1)
Pd 0.3333 0.6667 0.5000 (multiplicity 1)

[14]
VASP calculation (GGA-PBE) on a relaxed HoCu4Ge2 crystal.

Distance to the lowest polymorph of the same formula = 0.000 eV/atom
E_tot = -0.1705 hartree per atom
D(E_F) = 3.35 states/eV/f.u.
Energy of formation from the pure elements = -31.4 kJ per mole of atoms

Cell: 7.374 7.374 3.963 Å, 90.00 90.00 90.00°
Space group P4_2/mnm (No. 136)
Asymmetric unit:
Ho 0.000 0.000 0.000 (multiplicity 2)
Cu 0.091 0.347 0.500 (multiplicity 8)
Ge 0.216 0.784 0.500 (multiplicity 4)

[15]
VASP calculation (GGA-PBE) on a relaxed AlCu4Ni crystal.

Distance to the lowest polymorph of the same formula = 0.031 eV/atom
E_tot = -0.1613 hartree per atom
D(E_F) = 1.77 states/eV/f.u.
Energy of formation from the pure elements = -7.0 kJ per mole of atoms

Cell: 2.599 14.539 7.774 Å, 90.00 90.00 90.00°
Space group Cmcm (No. 63)
Asymmetric unit:
Al 0.000 0.246 0.250 (multiplicity 4)
Cu 0.000 0.000 0.000 (multiplicity 4)
Cu 0.000 0.167 0.521 (multiplicity 8)
Cu 0.000 0.427 0.250 (multiplicity 4)
Ni 0.000 0.401 0.750 (multiplicity 4)

[16]
VASP calculation (GGA-PBE) on a relaxed ReHgTe2 crystal.

Distance to the lowest polymorph of the same formula = 0.210 eV/atom
Formation energy from raw total energies = 0.433 eV per atom
E_tot = -0.1589 hartree per atom
D(E_F) = 3.14 states/eV/f.u.

Cell: 3.167 3.167 10.039 Å, 90.00 90.00 90.00°
Space group P4mm (No. 99)
Asymmetric unit:
Re 0.000 0.000 0.000 (multiplicity 1)
Hg 0.500 0.500 0.807 (multiplicity 1)
Te 0.000 0.000 0.508 (multiplicity 1)
Te 0.500 0.500 0.155 (multiplicity 1)

[17]
VASP calculation (GGA-PBE) on a relaxed SiCl crystal.

Distance to the lowest polymorph of the same formula = 0.227 eV/atom
Formation energy from raw total energies = -0.447 eV per atom
E_tot = -0.1500 hartree per atom
D(E_F) = 1.13 states/eV/f.u.

Cell: 10.4915 10.4915 3.5229 Å, 90.00 90.00 120.00°
Space group P6_3/m (No. 176)
Asymmetric unit:
Si 0.0639 0.2008 0.2500 (multiplicity 6)
Cl 0.1344 0.4238 0.2500 (multiplicity 6)

[18]
VASP calculation (GGA-PBE) on a relaxed ReS2I crystal.

Distance to the lowest polymorph of the same formula = 1.315 eV/atom
Formation energy from raw total energies = 1.250 eV per atom
E_tot = -0.1585 hartree per atom
D(E_F) = 3.50 states/eV/f.u.

Cell: 6.519 6.519 6.519 Å, 90.00 90.00 90.00°
Space group Fm-3m (No. 225)
Asymmetric unit:
Re 0.000 0.000 0.000 (multiplicity 4)
S 0.250 0.250 0.250 (multiplicity 8)
I 0.000 0.000 0.500 (multiplicity 4)

[19]
VASP calculation (GGA-PBE) on a relaxed BaSrGe4 crystal.

Distance to the lowest polymorph of the same formula = 0.062 eV/atom
E_tot = -0.1498 hartree per atom
Energy of formation from the pure elements = -38.4 kJ per mole of atoms

Cell: 8.569 8.569 8.569 Å, 90.00 90.00 90.00°
Space group F-43m (No. 216)
Asymmetric unit:
Ba 0.000 0.000 0.000 (multiplicity 4)
Sr 0.250 0.250 0.250 (multiplicity 4)
Ge 0.138 0.138 0.638 (multiplicity 16)

[20]
VASP calculation (GGA-PBE) on a relaxed AcSmPa crystal.

E_tot = -0.2093 hartree per atom
D(E_F) = 5.85 states/eV/f.u.
Energy of formation from the pure elements = 39.8 kJ per mole of atoms

Cell: 5.2467 5.2467 28.3133 Å, 90.00 90.00 120.00°
Space group R-3m (No. 166, hexagonal axes)
Asymmetric unit:
Ac 0.0000 0.0000 0.2122 (multiplicity 6)
Sm 0.0000 0.0000 0.0565 (multiplicity 6)
Pa 0.0000 0.0000 0.3380 (multiplicity 6)

[21]
VASP calculation (GGA-PBE) on a relaxed TbSc3Ag2 crystal.

E_tot = -0.1853 hartree per atom
D(E_F) = 7.49 states/eV/f.u.
Energy of formation from the pure elements = -14.8 kJ per mole of atoms

Cell: 3.426 3.426 11.720 Å, 90.00 90.00 90.00°
Space group P4/mmm (No. 123)
Asymmetric unit:
Tb 0.000 0.000 0.000 (multiplicity 1)
Sc 0.500 0.500 0.205 (multiplicity 2)
Sc 0.500 0.500 0.500 (multiplicity 1)
Ag 0.000 0.000 0.352 (multiplicity 2)

[22]
VASP calculation (GGA-PBE) on a relaxed VCu2B2 crystal.

Distance to the lowest polymorph of the same formula = 0.000 eV/atom
E_tot = -0.2092 hartree per atom
D(E_F) = 2.87 states/eV/f.u.
Energy of formation from the pure elements = 42.6 kJ per mole of atoms

Cell: 3.630 3.630 7.777 Å, 90.00 90.00 90.00°
Space group I4/mmm (No. 139)
Asymmetric unit:
V 0.000 0.000 0.000 (multiplicity 2)
Cu 0.000 0.000 0.355 (multiplicity 4)
B 0.000 0.500 0.250 (multiplicity 4)

[23]
VASP calculation (GGA-PBE) on a relaxed Rb2HgF5 crystal.

Distance to the lowest polymorph of the same formula = 0.060 eV/atom
Formation energy from raw total energies = -1.923 eV per atom
E_tot = -0.1239 hartree per atom
D(E_F) = 1.25 states/eV/f.u.

Cell: 6.562 6.562 8.190 Å, 90.00 90.00 90.00°
Space group I4mm (No. 107)
Asymmetric unit:
Rb 0.000 0.500 0.000 (multiplicity 4)
Hg 0.000 0.000 0.254 (multiplicity 2)
F 0.000 0.000 0.528 (multiplicity 2)
F 0.228 0.228 0.229 (multiplicity 8)

[24]
VASP calculation (GGA-PBE) on a relaxed CoWBr2 crystal.

Distance to the lowest polymorph of the same formula = 1.285 eV/atom
Formation energy from raw total energies = 1.468 eV per atom
E_tot = -0.1611 hartree per atom
D(E_F) = 5.03 states/eV/f.u.

Cell: 6.645 6.645 6.645 Å, 90.00 90.00 90.00°
Space group F-43m (No. 216)
Asymmetric unit:
Co 0.000 0.000 0.000 (multiplicity 4)
W 0.250 0.250 0.750 (multiplicity 4)
Br 0.000 0.000 0.500 (multiplicity 4)
Br 0.250 0.250 0.250 (multiplicity 4)

[25]
VASP calculation (GGA-PBE) on a relaxed LiAc2Os2N6 crystal.

Formation energy from raw total energies = -0.298 eV per atom
E_tot = -0.2867 hartree per atom
D(E_F) = 6.14 states/eV/f.u.

Cell: 5.8546 5.8546 18.1668 Å, 90.00 90.00 120.00°
Space group R-3m (No. 166, hexagonal axes)
Asymmetric unit:
Li 0.0000 0.0000 0.0000 (multiplicity 3)
Ac 0.0000 0.0000 0.2133 (multiplicity 6)
Os 0.0000 0.0000 0.4019 (multiplicity 6)
N 0.0064 0.5032 0.7606 (multiplicity 18)